SrLa3MnO12: optimized geometry, PBE with a Hubbard U.

The spin magnetization comes out at 21.65 μB per cell. The value obtained for the final energy is -6.526 eV/atom. As for the theoretical density: 5.8 Mg/m³.

It has space group R3m (No. 160, hexagonal axes), with a = 5.3504 Å, b = 5.3504 Å, c = 26.2333 Å, α = 90.00°, β = 90.00° and γ = 120.00°. The inequivalent atoms are Sr at (0.0000, 0.0000, 0.0000), La at (0.0000, 0.0000, 0.2448), La at (0.0000, 0.0000, 0.4959), La at (0.0000, 0.0000, 0.7493), Mn at (0.0000, 0.0000, 0.6273), O at (0.0053, 0.5026, 0.7515), O at (0.0165, 0.5082, 0.2442), O at (0.1678, 0.3355, 0.3286) and O at (0.1711, 0.3422, 0.8260).